Record 1
Be5Al4: relaxed, PBE.

Results
- final energy (eV per formula unit) = -30.2
- DOS at the Fermi energy (states/eV per cell) = 7.8
- formation enthalpy at 0 K (meV per atom) = 382

```
data_Be5Al4
_cell_length_a 7.1505
_cell_length_b 7.1505
_cell_length_c 4.9764
_cell_angle_alpha 90.00
_cell_angle_beta 90.00
_cell_angle_gamma 120.00
_space_group_name_H-M_alt 'P 63/m c m'
_space_group_IT_number 193
_space_group_name_Hall '-P 6c 2'
loop_
_atom_site_label
_atom_site_type_symbol
_atom_site_fract_x
_atom_site_fract_y
_atom_site_fract_z
Be1 Be 0.0000 0.3187 0.2500
Be2 Be 0.3333 0.6667 0.0000
Al1 Al 0.0000 0.0000 0.0000
Al2 Al 0.0000 0.3547 0.7500
```

***

Record 2
BeAl4: relaxed, PBE.

Results
- final energy (eV per formula unit) = -16.6
- DOS at the Fermi energy (states/eV per cell) = 3.8
- formation enthalpy at 0 K (meV per atom) = 428

```
data_BeAl4
_cell_length_a 4.399
_cell_length_b 4.399
_cell_length_c 4.399
_cell_angle_alpha 90.00
_cell_angle_beta 90.00
_cell_angle_gamma 90.00
_space_group_name_H-M_alt 'P m -3 m'
_space_group_IT_number 221
_space_group_name_Hall '-P 4 2 3'
loop_
_atom_site_label
_atom_site_type_symbol
_atom_site_fract_x
_atom_site_fract_y
_atom_site_fract_z
Be1 Be 0.000 0.000 0.000
Al1 Al 0.000 0.000 0.500
Al2 Al 0.500 0.500 0.500
```

***

Record 3
BeAl: relaxed, PBE.

Results
- final energy (eV per formula unit) = -7.1
- DOS at the Fermi energy (states/eV per cell) = 1.1
- formation enthalpy at 0 K (meV per atom) = 186

```
data_BeAl
_cell_length_a 2.647
_cell_length_b 2.647
_cell_length_c 7.148
_cell_angle_alpha 90.00
_cell_angle_beta 90.00
_cell_angle_gamma 90.00
_space_group_name_H-M_alt 'P 4/n m m'
_space_group_IT_number 129
loop_
_space_group_symop_operation_xyz
'x,y,z'
'-x,-y,-z'
'-y+1/2,x,z'
'y+1/2,-x,-z'
'-x+1/2,-y+1/2,z'
'x+1/2,y+1/2,-z'
'y,-x+1/2,z'
'-y,x+1/2,-z'
'x+1/2,-y,-z'
'-x+1/2,y,z'
'-y,-x,-z'
'y,x,z'
'-x,y+1/2,-z'
'x,-y+1/2,z'
'y+1/2,x+1/2,-z'
'-y+1/2,-x+1/2,z'
loop_
_atom_site_label
_atom_site_type_symbol
_atom_site_fract_x
_atom_site_fract_y
_atom_site_fract_z
Be1 Be 0.250 0.250 0.095
Al1 Al 0.250 0.250 0.657
```